Computed, not measured: a relaxed Rb2MgI2Br2 crystal at the PBE level of DFT.

a = 5.4541 Å, b = 5.4541 Å, c = 18.3876 Å
α = 90.00°, β = 90.00°, γ = 90.00°
Closest atoms and distances in Å follow each position.
Space group I4/mmm (No. 139)
Asymmetric unit:
Rb  0.0000  0.0000  0.1351 [4 per cell]  4 Br 3.69, 5 I 3.78-3.88
Mg  0.0000  0.0000  0.5000 [2 per cell]  4 Br 2.73, 2 I 2.93
I  0.0000  0.0000  0.3406 [4 per cell]  1 Mg 2.93
Br  0.0000  0.5000  0.0000 [4 per cell]  2 Mg 2.73

- ΔE_f (raw): -34.1 kcal/mol of atoms

Computed, not measured: a relaxed Rb2MgIBr3 crystal at the PBE level of DFT.

a = 5.4589 Å, b = 5.8239 Å, c = 17.1788 Å
α = 90.00°, β = 90.00°, γ = 90.00°
Closest atoms and distances in Å follow each position.
Space group Immm (No. 71)
Asymmetric unit:
Rb  0.0000  0.0000  0.1449 [4 per cell]  3 Br 3.42-3.83, 2 I 3.69
Mg  0.0000  0.0000  0.5000 [2 per cell]  4 Br 2.68-2.73, 2 I 2.91
I  0.0000  0.5000  0.5000 [2 per cell]  2 Mg 2.91
Br  0.0000  0.0000  0.3442 [4 per cell]  1 Mg 2.68
Br  0.0000  0.5000  0.0000 [2 per cell]  2 Mg 2.73

- ΔE_f (raw): -35.0 kcal/mol of atoms

Computed, not measured: a relaxed RbMgIBr2 crystal at the PBE level of DFT.

a = 5.3909 Å, b = 5.3909 Å, c = 5.9248 Å
α = 90.00°, β = 90.00°, γ = 90.00°
Closest atoms and distances in Å follow each position.
Space group P4/mmm (No. 123)
Asymmetric unit:
Rb  0.0000  0.0000  0.0000 [1 per cell]  4 I 3.81, 8 Br 4.01
Mg  0.5000  0.5000  0.5000 [1 per cell]  4 Br 2.70, 2 I 2.96
I  0.5000  0.5000  0.0000 [1 per cell]  2 Mg 2.96
Br  0.0000  0.5000  0.5000 [2 per cell]  2 Mg 2.70

- Offset from the most stable computed form: 0.0 kJ per mole of atoms
- ΔE_f (raw): -32.8 kcal/mol of atoms

Computed, not measured: a relaxed MgSbI2Br crystal at the PBE level of DFT.

a = 5.4597 Å, b = 5.4597 Å, c = 5.9860 Å
α = 90.00°, β = 90.00°, γ = 90.00°
Closest atoms and distances in Å follow each position.
Space group P4/mmm (No. 123)
Asymmetric unit:
Mg  0.0000  0.0000  0.0000 [1 per cell]  4 I 2.73, 2 Sb 2.99
Sb  0.0000  0.0000  0.5000 [1 per cell]  2 Mg 2.99
I  0.0000  0.5000  0.0000 [2 per cell]  2 Mg 2.73
Br  0.5000  0.5000  0.5000 [1 per cell]  4 Sb 3.86, 8 I 4.05

- Offset from the most stable computed form: 0.0 kJ per mole of atoms
- ΔE_f (raw): -0.2 kcal/mol of atoms

Computed, not measured: a relaxed MgSbI2Br crystal at the PBE level of DFT.

a = 5.7766 Å, b = 5.7766 Å, c = 5.8771 Å
α = 90.00°, β = 90.00°, γ = 90.00°
Closest atoms and distances in Å follow each position.
Space group P4/mmm (No. 123)
Asymmetric unit:
Mg  0.0000  0.0000  0.0000 [1 per cell]  4 Sb 4.08, 8 I 4.12
Sb  0.5000  0.5000  0.0000 [1 per cell]  2 Br 2.94
I  0.0000  0.5000  0.5000 [2 per cell]  2 Br 2.89
Br  0.5000  0.5000  0.5000 [1 per cell]  4 I 2.89, 2 Sb 2.94

- Offset from the most stable computed form: 50.7 kJ per mole of atoms
- ΔE_f (raw): 11.9 kcal/mol of atoms

Computed, not measured: a relaxed Mg2ScIBr crystal at the PBE level of DFT.

a = 5.7334 Å, b = 5.7334 Å, c = 5.0938 Å
α = 90.00°, β = 90.00°, γ = 90.00°
Closest atoms and distances in Å follow each position.
Space group P4/mmm (No. 123)
Asymmetric unit:
Mg  0.0000  0.5000  0.0000 [2 per cell]  2 Br 2.87
Sc  0.0000  0.0000  0.5000 [1 per cell]  2 Br 2.55
I  0.5000  0.5000  0.5000 [1 per cell]  8 Mg 3.83, 4 Sc 4.05
Br  0.0000  0.0000  0.0000 [1 per cell]  2 Sc 2.55

- ΔE_f (raw): 4.2 kcal/mol of atoms

Computed, not measured: a relaxed MgTe2IBr crystal at the PBE level of DFT.

a = 5.5694 Å, b = 5.5694 Å, c = 5.4785 Å
α = 90.00°, β = 90.00°, γ = 90.00°
Closest atoms and distances in Å follow each position.
Space group P4/mmm (No. 123)
Asymmetric unit:
Mg  0.0000  0.0000  0.0000 [1 per cell]  2 I 2.74, 4 Te 2.78
Te  0.0000  0.5000  0.0000 [2 per cell]  2 Mg 2.78
I  0.0000  0.0000  0.5000 [1 per cell]  2 Mg 2.74
Br  0.5000  0.5000  0.5000 [1 per cell]  8 Te 3.91, 4 I 3.94

- Offset from the most stable computed form: 0.0 kJ per mole of atoms
- ΔE_f (raw): 2.4 kcal/mol of atoms

Computed, not measured: a relaxed MgTe2IBr crystal at the PBE level of DFT.

a = 5.6948 Å, b = 5.6948 Å, c = 5.7452 Å
α = 90.00°, β = 90.00°, γ = 90.00°
Closest atoms and distances in Å follow each position.
Space group P4/mmm (No. 123)
Asymmetric unit:
Mg  0.0000  0.0000  0.0000 [1 per cell]  4 I 4.03, 8 Te 4.04
Te  0.0000  0.5000  0.5000 [2 per cell]  2 Br 2.85
I  0.5000  0.5000  0.0000 [1 per cell]  2 Br 2.87
Br  0.5000  0.5000  0.5000 [1 per cell]  4 Te 2.85, 2 I 2.87

- Offset from the most stable computed form: 40.4 kJ per mole of atoms
- ΔE_f (raw): 12.0 kcal/mol of atoms

Number 1: total DFT energy (no corrections) -20.3 eV/f.u.. Number 2: total DFT energy (no corrections) -20.7 eV/f.u.. Number 3: total DFT energy (no corrections) -14.6 eV/f.u.. Number 4: total DFT energy (no corrections) -10.5 eV/f.u.. Number 5: total DFT energy (no corrections) -7.9 eV/f.u.. Number 6: total DFT energy (no corrections) -11.8 eV/f.u.. Number 7: total DFT energy (no corrections) -10.6 eV/f.u.. Number 8: total DFT energy (no corrections) -8.5 eV/f.u..